No. 1
Compound: K2TlAs
Source: Alexandria via LeMat-Bulk
Functional: GGA-PBE
Structure: relaxed

* SG: Imm2, No. 44

Cell: 6.7413 6.7413 6.7413 Å, 142.96 129.97 63.86°
Sites, in units of the cell vectors:
K  0.0000  0.0000  0.0000
K  0.6852  0.1852  0.5000
Tl  0.3986  0.3986  0.0000
As  0.2382  0.7382  0.5000

No. 2
Compound: KTlAs
Source: Alexandria via LeMat-Bulk
Functional: GGA-PBE
Structure: relaxed

* SG: Pnma, No. 62

Cell: 8.1032 4.7841 9.4303 Å, 90.00 90.00 90.00°
Sites, in units of the cell vectors:
K  0.0143  0.2500  0.1784
K  0.4857  0.7500  0.6784
K  0.5143  0.2500  0.3216
K  0.9857  0.7500  0.8216
Tl  0.1527  0.2500  0.5786
Tl  0.3473  0.7500  0.0786
Tl  0.6527  0.2500  0.9214
Tl  0.8473  0.7500  0.4214
As  0.2160  0.7500  0.3967
As  0.2840  0.2500  0.8967
As  0.7160  0.7500  0.1033
As  0.7840  0.2500  0.6033

Number 1: calculated density 4.25 g cm⁻³, energy of formation -0.290 eV/atom. Number 2: calculated density 5.78 g cm⁻³, energy of formation -0.257 eV/atom.